1.
## LiCa2SiPd6 (PBE)

Data for crystalline LiCa2SiPd6 at its relaxed geometry.

The value obtained for the magnetization is 0.0 μB/cell. The energy relative to the elements, uncorrected comes out at -0.496 eV per atom. The calculation puts the density of states at the Fermi level at 0.28 states/eV/atom. The total DFT energy (no corrections) comes out at -4.746 eV/atom.

The structure belongs to space group P-1 (No. 2); the cell edges are 6.1415, 6.2210 and 6.5832 Å and the angles 62.68°, 62.58° and 60.51°. The distinct sites, in fractional coordinates, are Li at (0.0000, 0.0000, 0.0000), Ca at (0.2342, 0.2314, 0.3036), Si at (0.5000, 0.5000, 0.5000), Pd at (0.2454, 0.7054, 0.7976), Pd at (0.2464, 0.2491, 0.7926) and Pd at (0.2925, 0.7523, 0.2038).

---

2.
## Li2Ca2Si4Pd (PBE)

Data for crystalline Li2Ca2Si4Pd at its relaxed geometry.

The value obtained for the magnetization is 0.0 μB/cell. The energy relative to the elements, uncorrected comes out at -0.444 eV per atom. The calculation puts the density of states at the Fermi level at 0.29 states/eV/atom. The total DFT energy (no corrections) comes out at -4.301 eV/atom.

The structure belongs to space group I4/mmm (No. 139); the cell edges are 5.9744, 5.9744 and 9.0137 Å and the angles 90.00°, 90.00° and 90.00°. The distinct sites, in fractional coordinates, are Li at (0.0000, 0.0000, 0.2182), Ca at (0.0000, 0.5000, 0.2500), Si at (0.2073, 0.2073, 0.0000) and Pd at (0.0000, 0.0000, 0.5000).

---

3.
## Li2CaSiPd (PBE)

Data for crystalline Li2CaSiPd at its relaxed geometry.

The value obtained for the magnetization is 0.0 μB/cell. The energy relative to the elements, uncorrected comes out at -0.309 eV per atom. The calculation puts the density of states at the Fermi level at 0.52 states/eV/atom. The total DFT energy (no corrections) comes out at -3.598 eV/atom.

The structure belongs to space group P4/mmm (No. 123); the cell edges are 4.7304, 4.7304 and 4.6401 Å and the angles 90.00°, 90.00° and 90.00°. The distinct sites, in fractional coordinates, are Li at (0.0000, 0.5000, 0.0000), Ca at (0.0000, 0.0000, 0.5000), Si at (0.5000, 0.5000, 0.5000) and Pd at (0.5000, 0.5000, 0.0000).

---

4.
## LiCa2Si2Pd5 (PBE)

Data for crystalline LiCa2Si2Pd5 at its relaxed geometry.

The value obtained for the magnetization is 0.0 μB/cell. The energy relative to the elements, uncorrected comes out at -0.665 eV per atom. The calculation puts the density of states at the Fermi level at 0.45 states/eV/atom. The total DFT energy (no corrections) comes out at -4.938 eV/atom.

The structure belongs to space group P4/mbm (No. 127); the cell edges are 10.1906, 10.1906 and 3.4023 Å and the angles 90.00°, 90.00° and 90.00°. The distinct sites, in fractional coordinates, are Li at (0.0000, 0.0000, 0.0000), Ca at (0.1734, 0.3266, 0.0000), Si at (0.1279, 0.6279, 0.0000), Pd at (0.0000, 0.5000, 0.5000) and Pd at (0.0656, 0.7874, 0.5000).